[1]
Compound: Pr4Pu3Se8
Source: Alexandria via LeMat-Bulk
Functional: PBE
Structure: relaxed

Lattice parameters (Å, degrees): 8.4273 8.4138 8.4138 90.04 120.05 120.05
With the nearest neighbours (Å) after each atom.
Atoms (fractional coordinates):
Pr 0.5000 0.0000 0.0000  6 Se 3.00-3.01
Pr 0.0000 0.5000 0.0000  6 Se 2.97-2.98
Pr 0.0000 0.0000 0.0000  6 Se 3.01-3.02
Pr 0.0000 0.0000 0.5000  6 Se 2.97-2.98
Pu 0.5000 0.5000 0.0000  6 Se 2.97-2.98
Pu 0.5000 0.0000 0.5000  6 Se 2.97-2.98
Pu 0.5000 0.5000 0.5000  6 Se 2.94-2.95
Se 0.5063 0.2554 0.2554  3 Pu 2.95-2.98, 2 Pr 3.00-3.01
Se 0.0000 0.7466 0.2534  3 Pr 2.97-3.02, 2 Pu 2.97
Se 0.0062 0.2571 0.2571  1 Pu 2.94, 4 Pr 2.98-3.02
Se 0.5000 0.7471 0.2529  3 Pu 2.94-2.97, 3 Pr 2.97-3.01
Se 0.5000 0.2529 0.7471  3 Pu 2.94-2.97, 3 Pr 2.97-3.01
Se 0.9938 0.7429 0.7429  1 Pu 2.94, 4 Pr 2.98-3.02
Se 0.0000 0.2534 0.7466  3 Pr 2.97-3.02, 2 Pu 2.97
Se 0.4937 0.7446 0.7446  3 Pu 2.95-2.98, 2 Pr 3.00-3.01

## Properties
Energy relative to the elements, uncorrected = -1728.4 meV/atom
Relative energy among the computed polymorphs = 0.0 meV per atom
Energy = -7.728 eV per atom
Space-group type = No. 12

=====

[2]
Compound: NaVAu2I
Source: Alexandria via LeMat-Bulk
Functional: PBE
Structure: relaxed

Lattice parameters (Å, degrees): 5.5562 5.0791 5.5562 90.00 90.00 90.00
With the nearest neighbours (Å) after each atom.
Atoms (fractional coordinates):
I 0.0000 0.0000 0.0000  2 V 2.54, 4 Au 2.78
Na 0.5000 0.5000 0.5000  8 Au 3.76, 4 V 3.93
Au 0.0000 0.0000 0.5000  2 I 2.78
Au 0.5000 0.0000 0.0000  2 I 2.78
V 0.0000 0.5000 0.0000  2 I 2.54

## Properties
Energy relative to the elements, uncorrected = 793.6 meV/atom
Relative energy among the computed polymorphs = 0.0 meV per atom
Energy = -2.915 eV per atom
Space-group type = No. 123